# 1
# PBE BPRhCl, relaxed
data_BPRhCl
_cell_length_a 3.3153
_cell_length_b 3.3769
_cell_length_c 7.0083
_cell_angle_alpha 101.15
_cell_angle_beta 100.51
_cell_angle_gamma 90.01
_symmetry_space_group_name_H-M 'P 1'
_symmetry_Int_Tables_number 1
_symmetry_space_group_name_Hall 'P 1'
loop_
_atom_site_label
_atom_site_fract_x
_atom_site_fract_y
_atom_site_fract_z
_atom_site_occupancy
B1 0.0000 0.0000 0.0000 1
P1 0.4680 0.9367 0.8408 1
Rh1 0.9874 0.4086 0.7713 1
Cl1 0.1440 0.1019 0.2583 1
# * E_tot: -22.174 eV per cell
# * formation energy (no corrections): -0.22 eV/atom
# * energy relative to the lowest polymorph listed for this composition: 0.000 eV per formula unit


# 2
# PBE Sb2TeOs, relaxed
data_Sb2TeOs
_cell_length_a 4.2298
_cell_length_b 4.2298
_cell_length_c 5.0974
_cell_angle_alpha 90.00
_cell_angle_beta 90.00
_cell_angle_gamma 90.00
_symmetry_space_group_name_H-M 'P 4/m m m'
_symmetry_Int_Tables_number 123
_symmetry_space_group_name_Hall '-P 4 2'
loop_
_atom_site_label
_atom_site_fract_x
_atom_site_fract_y
_atom_site_fract_z
_atom_site_occupancy
Sb1 0.0000 0.5000 0.0000 1
Te1 0.0000 0.0000 0.5000 1
Os1 0.5000 0.5000 0.5000 1
# * E_tot: -18.888 eV per cell
# * formation energy (no corrections): 0.93 eV/atom


The highest formation energy (no corrections) belongs to which entry? Sb2TeOs


What is the formula in the first record? BPRhCl